P:
First-principles (PBE-GGA) data for crystalline LaTc3As at its relaxed geometry, as listed in the Alexandria database.

Cell: 4.6770 4.6770 4.6770 Å, 90.00 90.00 90.00°
Last column: nearest neighbours and their distance in Å.
Fractional positions:
1 La 0.0000 0.0000 0.0000  12 Tc 3.31
2 Tc 0.0000 0.5000 0.5000  2 As 2.34
3 Tc 0.5000 0.0000 0.5000  2 As 2.34
4 Tc 0.5000 0.5000 0.0000  2 As 2.34
5 As 0.5000 0.5000 0.5000  6 Tc 2.34


Q:
First-principles (PBE-GGA) data for crystalline LaTc3As at its relaxed geometry, as listed in the Alexandria database.

Cell: 4.7974 4.7974 4.7974 Å, 90.00 90.00 90.00°
Last column: nearest neighbours and their distance in Å.
Fractional positions:
1 La 0.0000 0.0000 0.0000  6 Tc 2.40
2 Tc 0.0000 0.0000 0.5000  2 La 2.40
3 Tc 0.0000 0.5000 0.0000  2 La 2.40
4 Tc 0.5000 0.0000 0.0000  2 La 2.40
5 As 0.5000 0.5000 0.5000  12 Tc 3.39


Short version: P is the most stable of them.


P:
First-principles (PBE-GGA) data for crystalline La2TeAs at its relaxed geometry, as listed in the Alexandria database.

Cell: 5.4328 5.4328 5.4328 Å, 60.00 60.00 60.00°
Last column: nearest neighbours and their distance in Å.
Fractional positions:
1 La 0.2500 0.2500 0.2500  4 As 3.33, 4 Te 3.33
2 La 0.7500 0.7500 0.7500  4 As 3.33, 4 Te 3.33
3 Te 0.0000 0.0000 0.0000  8 La 3.33
4 As 0.5000 0.5000 0.5000  8 La 3.33


Q:
First-principles (PBE-GGA) data for crystalline La2TeAs at its relaxed geometry, as listed in the Alexandria database.

Cell: 4.4791 4.4791 6.3365 Å, 90.00 90.00 90.00°
Last column: nearest neighbours and their distance in Å.
Fractional positions:
1 La 0.0000 0.0000 0.0000  4 As 3.17, 2 Te 3.17
2 La 0.5000 0.5000 0.5000  4 Te 3.17, 2 As 3.17
3 Te 0.0000 0.0000 0.5000  6 La 3.17
4 As 0.5000 0.5000 0.0000  6 La 3.17


Short version: Q is the most stable of them.


P:
First-principles (PBE-GGA) data for crystalline LaTe2As2 at its relaxed geometry, as listed in the Alexandria database.

Cell: 7.9426 7.9426 4.2831 Å, 90.00 90.00 90.00°
Last column: nearest neighbours and their distance in Å.
Fractional positions:
1 La 0.0000 0.0000 0.0000  4 As 3.13
2 La 0.5000 0.5000 0.0000  4 As 3.13
3 Te 0.2052 0.2948 0.5000  2 As 2.86
4 Te 0.2948 0.7948 0.5000  2 As 2.86
5 Te 0.7052 0.2052 0.5000  2 As 2.86
6 Te 0.7948 0.7052 0.5000  2 As 2.86
7 As 0.1263 0.6263 0.0000  1 As 2.84, 2 Te 2.86, 2 La 3.13
8 As 0.3737 0.1263 0.0000  1 As 2.84, 2 Te 2.86, 2 La 3.13
9 As 0.6263 0.8737 0.0000  1 As 2.84, 2 Te 2.86, 2 La 3.13
10 As 0.8737 0.3737 0.0000  1 As 2.84, 2 Te 2.86, 2 La 3.13


Q:
First-principles (PBE-GGA) data for crystalline LaTe2As2 at its relaxed geometry, as listed in the Alexandria database.

Cell: 10.3692 10.3692 10.3692 Å, 156.67 156.67 33.23°
Last column: nearest neighbours and their distance in Å.
Fractional positions:
1 La 0.0000 0.0000 0.0000  8 As 3.20
2 Te 0.2500 0.7500 0.5000  4 Te 2.96
3 Te 0.7500 0.2500 0.5000  4 Te 2.96
4 As 0.4392 0.4392 0.0000  1 As 2.42
5 As 0.5608 0.5608 0.0000  1 As 2.42


Short version: P is the most stable of them.


P:
First-principles (PBE-GGA) data for crystalline LaTe3As at its relaxed geometry, as listed in the Alexandria database.

Cell: 6.1781 6.1781 6.1781 Å, 90.00 90.00 90.00°
Last column: nearest neighbours and their distance in Å.
Fractional positions:
1 La 0.0000 0.0000 0.0000  6 Te 3.09
2 Te 0.0000 0.0000 0.5000  2 La 3.09
3 Te 0.0000 0.5000 0.0000  2 La 3.09
4 Te 0.5000 0.0000 0.0000  2 La 3.09
5 As 0.5000 0.5000 0.5000  12 Te 4.37


Q:
First-principles (PBE-GGA) data for crystalline LaTe3As at its relaxed geometry, as listed in the Alexandria database.

Cell: 5.4386 5.4386 5.4386 Å, 90.00 90.00 90.00°
Last column: nearest neighbours and their distance in Å.
Fractional positions:
1 La 0.0000 0.0000 0.0000  12 Te 3.85
2 Te 0.0000 0.5000 0.5000  2 As 2.72
3 Te 0.5000 0.0000 0.5000  2 As 2.72
4 Te 0.5000 0.5000 0.0000  2 As 2.72
5 As 0.5000 0.5000 0.5000  6 Te 2.72


Short version: Q is the most stable of them.


P:
First-principles (PBE-GGA) data for crystalline LaTlAs2 at its relaxed geometry, as listed in the Alexandria database.

Cell: 4.8789 4.8789 4.1422 Å, 90.00 90.00 90.00°
Last column: nearest neighbours and their distance in Å.
Fractional positions:
1 La 0.0000 0.0000 0.0000  8 As 3.20, 4 Tl 3.45
2 Tl 0.5000 0.5000 0.9989  8 As 3.20, 4 La 3.45
3 As 0.0000 0.5000 0.4998  4 Tl 3.20, 4 La 3.20, 4 As 3.45
4 As 0.5000 0.0000 0.4998  4 Tl 3.20, 4 La 3.20, 4 As 3.45


Q:
First-principles (PBE-GGA) data for crystalline LaTlAs2 at its relaxed geometry, as listed in the Alexandria database.

Cell: 6.3293 6.3293 6.3293 Å, 141.20 138.73 57.93°
Last column: nearest neighbours and their distance in Å.
Fractional positions:
1 La 0.0000 0.0000 0.0000  6 As 3.07-3.17, 2 Tl 3.40
2 Tl 0.7317 0.2317 0.5000  6 As 3.15-3.36, 2 La 3.40
3 As 0.2967 0.7967 0.5000  2 As 3.04, 4 Tl 3.15, 2 La 3.17
4 As 0.4952 0.4952 0.0000  2 As 3.04, 4 La 3.07, 2 Tl 3.36


R:
First-principles (PBE-GGA) data for crystalline LaTlAs2 at its relaxed geometry, as listed in the Alexandria database.

Cell: 5.5423 5.5423 5.5423 Å, 128.80 128.80 75.34°
Last column: nearest neighbours and their distance in Å.
Fractional positions:
1 La 0.0000 0.0000 0.0000  8 As 3.25, 4 Tl 3.39
2 Tl 0.5000 0.5000 0.0000  8 As 3.25, 4 La 3.39
3 As 0.2500 0.7500 0.5000  4 Tl 3.25, 4 La 3.25, 4 As 3.39
4 As 0.7500 0.2500 0.5000  4 Tl 3.25, 4 La 3.25, 4 As 3.39


S:
First-principles (PBE-GGA) data for crystalline LaTlAs2 at its relaxed geometry, as listed in the Alexandria database.

Cell: 4.1165 4.1165 6.6709 Å, 90.00 90.00 90.00°
Last column: nearest neighbours and their distance in Å.
Fractional positions:
1 La 0.0000 0.0000 0.0000  8 As 3.17, 2 Tl 3.34
2 Tl 0.0000 0.0000 0.5000  2 La 3.34, 8 As 3.57
3 As 0.5000 0.5000 0.1890  1 As 2.52
4 As 0.5000 0.5000 0.8110  1 As 2.52


Short version: S is the most stable of them.


P:
First-principles (PBE-GGA) data for crystalline LaTlAs2 at its relaxed geometry, as listed in the Alexandria database.

Cell: 5.2552 5.2552 5.2552 Å, 60.00 60.00 60.00°
Last column: nearest neighbours and their distance in Å.
Fractional positions:
1 La 0.0000 0.0000 0.0000  8 As 3.22
2 Tl 0.5000 0.5000 0.5000  8 As 3.22
3 As 0.2500 0.2500 0.2500  4 Tl 3.22, 4 La 3.22
4 As 0.7500 0.7500 0.7500  4 Tl 3.22, 4 La 3.22


Q:
First-principles (PBE-GGA) data for crystalline LaTlAs2 at its relaxed geometry, as listed in the Alexandria database.

Cell: 5.9767 5.9767 4.6757 Å, 100.26 100.26 42.98°
Last column: nearest neighbours and their distance in Å.
Fractional positions:
1 La 0.0000 0.0000 0.0000  7 As 3.09-3.42, 1 Tl 3.26
2 Tl 0.7564 0.7564 0.4865  3 As 2.84-3.06
3 As 0.3117 0.3117 0.0730  1 As 2.57
4 As 0.5010 0.5010 0.4854  1 As 2.57, 1 Tl 2.84


Short version: Q is the most stable of them.


P:
First-principles (PBE-GGA) data for crystalline LaTlAs2 at its relaxed geometry, as listed in the Alexandria database.

Cell: 4.4922 4.4922 7.2693 Å, 112.38 112.38 58.68°
Last column: nearest neighbours and their distance in Å.
Fractional positions:
1 La 0.0000 0.0000 0.0000  6 As 3.01-3.10
2 Tl 0.5000 0.5000 0.5000  6 As 2.95-3.30
3 As 0.2380 0.2380 0.7534  3 Tl 2.95-3.30, 3 La 3.01-3.10
4 As 0.7620 0.7620 0.2466  3 Tl 2.95-3.30, 3 La 3.01-3.10


Q:
First-principles (PBE-GGA) data for crystalline LaTlAs2 at its relaxed geometry, as listed in the Alexandria database.

Cell: 5.2363 5.2363 5.2363 Å, 60.00 60.00 60.00°
Last column: nearest neighbours and their distance in Å.
Fractional positions:
1 La 0.0000 0.0000 0.0000  4 Tl 3.21, 4 As 3.21
2 Tl 0.7500 0.7500 0.7500  4 La 3.21, 4 As 3.21
3 As 0.2500 0.2500 0.2500  4 La 3.21, 4 As 3.21
4 As 0.5000 0.5000 0.5000  4 Tl 3.21, 4 As 3.21


Short version: P is the most stable of them.


P:
First-principles (PBE-GGA) data for crystalline LaTlAs at its relaxed geometry, as listed in the Alexandria database.

Cell: 6.5595 6.3331 3.8580 Å, 75.83 69.41 34.77°
Last column: nearest neighbours and their distance in Å.
Fractional positions:
1 La 0.0000 0.0000 0.0000  2 As 2.93
2 Tl 0.2969 0.2969 0.7031  2 As 3.07, 2 La 3.41
3 As 0.6388 0.6388 0.3612  2 La 2.93, 2 Tl 3.07


Q:
First-principles (PBE-GGA) data for crystalline LaTlAs at its relaxed geometry, as listed in the Alexandria database.

Cell: 5.1570 5.1570 5.1570 Å, 60.00 60.00 60.00°
Last column: nearest neighbours and their distance in Å.
Fractional positions:
1 La 0.0000 0.0000 0.0000  4 Tl 3.16, 4 As 3.16
2 Tl 0.7500 0.7500 0.7500  4 La 3.16
3 As 0.2500 0.2500 0.2500  4 La 3.16


Short version: P is the most stable of them.


P:
First-principles (PBE-GGA) data for crystalline LaTlAs at its relaxed geometry, as listed in the Alexandria database.

Cell: 5.1234 5.1234 5.1234 Å, 60.00 60.00 60.00°
Last column: nearest neighbours and their distance in Å.
Fractional positions:
1 La 0.0000 0.0000 0.0000  4 As 3.14
2 Tl 0.5000 0.5000 0.5000  4 As 3.14
3 As 0.2500 0.2500 0.2500  4 Tl 3.14, 4 La 3.14


Q:
First-principles (PBE-GGA) data for crystalline LaTlAs at its relaxed geometry, as listed in the Alexandria database.

Cell: 8.8810 8.8810 8.8810 Å, 33.97 33.97 33.97°
Last column: nearest neighbours and their distance in Å.
Fractional positions:
1 La 0.1027 0.1027 0.1027  4 As 2.92-3.01
2 La 0.8973 0.8973 0.8973  4 As 2.92-3.01
3 Tl 0.3380 0.3380 0.3380  1 As 2.98, 3 Tl 3.00
4 Tl 0.6620 0.6620 0.6620  1 As 2.98, 3 Tl 3.00
5 As 0.2192 0.2192 0.2192  4 La 2.92-3.01, 1 Tl 2.98
6 As 0.7808 0.7808 0.7808  4 La 2.92-3.01, 1 Tl 2.98


Short version: Q is the most stable of them.


P:
First-principles (PBE-GGA) data for crystalline LaTlAs at its relaxed geometry, as listed in the Alexandria database.

Cell: 4.7564 4.7564 4.4334 Å, 90.00 90.00 120.00°
Last column: nearest neighbours and their distance in Å.
Fractional positions:
1 La 0.0000 0.0000 0.0000  3 As 3.12, 3 Tl 3.33
2 Tl 0.6667 0.3333 0.4240  3 As 2.95
3 As 0.3333 0.6667 0.6668  3 Tl 2.95, 3 La 3.12


Q:
First-principles (PBE-GGA) data for crystalline LaTlAs at its relaxed geometry, as listed in the Alexandria database.

Cell: 6.3713 6.3713 6.3713 Å, 144.75 144.75 50.70°
Last column: nearest neighbours and their distance in Å.
Fractional positions:
1 La 0.0000 0.0000 0.0000  4 As 3.07, 1 Tl 3.31
2 Tl 0.7126 0.7126 0.0000  5 La 3.31-3.67, 4 As 3.33
3 As 0.3776 0.3776 0.0000  4 La 3.07, 4 Tl 3.33


Short version: P is the most stable of them.


P:
First-principles (PBE-GGA) data for crystalline LaTl2As at its relaxed geometry, as listed in the Alexandria database.

Cell: 5.9218 5.9218 5.9218 Å, 134.63 130.68 69.24°
Last column: nearest neighbours and their distance in Å.
Fractional positions:
1 La 0.0000 0.0000 0.0000  4 As 3.28-3.53, 8 Tl 3.37-3.45
2 Tl 0.2653 0.7653 0.5000  4 Tl 3.31-3.51, 4 As 3.37, 4 La 3.37-3.45
3 Tl 0.5387 0.5387 0.0000  2 As 3.13, 2 Tl 3.31, 4 La 3.39
4 As 0.7584 0.2584 0.5000  6 Tl 3.13-3.37, 2 La 3.28


Q:
First-principles (PBE-GGA) data for crystalline LaTl2As at its relaxed geometry, as listed in the Alexandria database.

Cell: 9.5051 9.5051 9.5051 Å, 23.19 23.19 23.19°
Last column: nearest neighbours and their distance in Å.
Fractional positions:
1 La 0.0000 0.0000 0.0000  6 Tl 3.49, 6 La 3.82
2 Tl 0.2361 0.2361 0.2361  3 As 2.93
3 Tl 0.7639 0.7639 0.7639  3 As 2.93
4 As 0.5000 0.5000 0.5000  6 Tl 2.93


R:
First-principles (PBE-GGA) data for crystalline LaTl2As at its relaxed geometry, as listed in the Alexandria database.

Cell: 5.4198 5.4198 5.4198 Å, 60.00 60.00 60.00°
Last column: nearest neighbours and their distance in Å.
Fractional positions:
1 La 0.0000 0.0000 0.0000  8 Tl 3.32
2 Tl 0.2500 0.2500 0.2500  4 La 3.32, 4 As 3.32
3 Tl 0.7500 0.7500 0.7500  4 As 3.32, 4 La 3.32
4 As 0.5000 0.5000 0.5000  8 Tl 3.32


Short version: P is the most stable of them.


P:
First-principles (PBE-GGA) data for crystalline La3TlAs at its relaxed geometry, as listed in the Alexandria database.

Cell: 5.7162 5.7162 5.7162 Å, 90.00 90.00 90.00°
Last column: nearest neighbours and their distance in Å.
Fractional positions:
1 La 0.0000 0.0000 0.5000  2 As 2.86
2 La 0.0000 0.5000 0.0000  2 As 2.86
3 La 0.5000 0.0000 0.0000  2 As 2.86
4 Tl 0.5000 0.5000 0.5000  12 La 4.04
5 As 0.0000 0.0000 0.0000  6 La 2.86


Q:
First-principles (PBE-GGA) data for crystalline La3TlAs at its relaxed geometry, as listed in the Alexandria database.

Cell: 4.7855 7.2626 9.5182 Å, 90.00 90.00 90.00°
Last column: nearest neighbours and their distance in Å.
Fractional positions:
1 La 0.2500 0.0100 0.1657  3 As 3.10-3.11, 2 Tl 3.44
2 La 0.2500 0.2500 0.5739  1 As 3.06, 2 Tl 3.21
3 La 0.2500 0.4900 0.1657  3 As 3.10-3.11, 2 Tl 3.44
4 La 0.7500 0.5100 0.8343  3 As 3.10-3.11, 2 Tl 3.44
5 La 0.7500 0.7500 0.4261  1 As 3.06, 2 Tl 3.21
6 La 0.7500 0.9900 0.8343  3 As 3.10-3.11, 2 Tl 3.44
7 Tl 0.2500 0.7500 0.6506  6 La 3.21-3.44
8 Tl 0.7500 0.2500 0.3494  6 La 3.21-3.44
9 As 0.2500 0.2500 0.8951  7 La 3.06-3.11
10 As 0.7500 0.7500 0.1049  7 La 3.06-3.11


Short version: Q is the most stable of them.


P:
First-principles (PBE-GGA) data for crystalline LaTmAs2 at its relaxed geometry, as listed in the Alexandria database.

Cell: 7.5838 7.5838 7.5838 Å, 31.80 31.80 31.80°
Last column: nearest neighbours and their distance in Å.
Fractional positions:
1 La 0.0000 0.0000 0.0000  6 As 3.05-3.12
2 Tm 0.8290 0.8290 0.8290  6 As 2.90-2.94
3 As 0.2408 0.2408 0.2408  3 Tm 2.94, 3 La 3.12
4 As 0.4204 0.4204 0.4204  3 Tm 2.90, 3 La 3.05


Q:
First-principles (PBE-GGA) data for crystalline LaTmAs2 at its relaxed geometry, as listed in the Alexandria database.

Cell: 7.2937 7.2937 7.2937 Å, 33.68 33.68 33.68°
Last column: nearest neighbours and their distance in Å.
Fractional positions:
1 La 0.0000 0.0000 0.0000  6 As 3.05
2 Tm 0.5000 0.5000 0.5000  6 As 2.92
3 As 0.2443 0.2443 0.2443  3 Tm 2.92, 3 La 3.05
4 As 0.7557 0.7557 0.7557  3 Tm 2.92, 3 La 3.05


Short version: Q is the most stable of them.